Entry 1:
VASP calculation (GGA-PBEsol) on a geometry-optimized Zn2TeRu structure.

Lattice parameters (Å, degrees): 3.943 3.943 4.115 90.00 90.00 90.00
Atoms (fractional coordinates):
1 Zn 0.000 0.500 0.000
2 Zn 0.500 0.000 0.000
3 Te 0.000 0.000 0.500
4 Ru 0.500 0.500 0.500

Computed properties:
- E_tot: -0.290 Ry per atom
- DOS(E_F): 2.70 states/eV per cell
- E_form (uncorrected): 0.276 eV per atom
- Theoretical density: 9328 kg/m3

***

Entry 2:
VASP calculation (GGA-PBEsol) on a geometry-optimized ZnTeRu2 structure.

Lattice parameters (Å, degrees): 2.901 2.901 7.962 90.00 90.00 90.00
Atoms (fractional coordinates):
1 Zn 0.000 0.000 0.000
2 Te 0.500 0.500 0.662
3 Ru 0.000 0.000 0.405
4 Ru 0.500 0.500 0.207

Computed properties:
- Distance to the lowest polymorph of the same formula: 233.2 meV/atom
- E_tot: -0.447 Ry per atom
- DOS(E_F): 4.10 states/eV per cell
- E_form (uncorrected): 0.280 eV per atom
- Theoretical density: 9791 kg/m3

***

Entry 3:
VASP calculation (GGA-PBEsol) on a geometry-optimized ZnTeRu2 structure.

Lattice parameters (Å, degrees): 5.368 5.368 5.368 146.26 133.33 58.82
Atoms (fractional coordinates):
1 Zn 0.000 0.000 0.000
2 Te 0.734 0.234 0.500
3 Ru 0.244 0.744 0.500
4 Ru 0.510 0.510 0.000

Computed properties:
- Distance to the lowest polymorph of the same formula: 283.1 meV/atom
- E_tot: -0.443 Ry per atom
- DOS(E_F): 4.10 states/eV per cell
- E_form (uncorrected): 0.330 eV per atom
- Theoretical density: 10589 kg/m3

***

Look up the DOS(E_F) of the second one.
4.10 states/eV per cell

***

Number 3 is which compound?
ZnTeRu2

***

Which of these has the highest E_tot?
Zn2TeRu

***

Which value of E_form (uncorrected) does entry 3 give?
0.330 eV per atom